DFT (GGA-PBEsol) results for crystalline MgCdSb2 at its relaxed geometry.

Properties
**Symmetry**: P2/m
**Spin magnetization**: 0.0 μB/f.u.
**Density of states at the Fermi level**: 1.8 states/eV per cell
**E_tot**: -12.222 eV/cell
**E_form (uncorrected)**: -0.048 eV per atom
**E above lowest polymorph**: 36 meV per atom

a = 3.1303 Å, b = 3.9435 Å, c = 8.2223 Å
α = 90.00°, β = 101.56°, γ = 90.00°
With the nearest neighbours (Å) after each atom.
Element x y z (fractional)
Cd  0.5000  0.5000  0.0000  4 Sb 3.00, 2 Cd 3.13
Mg  0.0000  0.5000  0.5000  8 Sb 3.08-3.21, 2 Mg 3.13
Sb  0.4182  0.0000  0.2663  2 Cd 3.00, 4 Mg 3.08-3.21, 2 Sb 3.13
Sb  0.5818  0.0000  0.7337  2 Cd 3.00, 4 Mg 3.08-3.21, 2 Sb 3.13